Entry 1:
# KCrRe2

An optimized crystal structure of KCrRe2 (GGA-PBE, Alexandria via LeMat-Bulk).

a = 8.8221 Å, b = 8.8221 Å, c = 8.8221 Å
α = 147.07°, β = 147.07°, γ = 47.26°
Closest atoms and distances in Å follow each position.
Fractional positions:
K (0.3750, 0.6250, 0.7500)  8 Re 3.45, 4 Cr 3.54
K (0.6250, 0.3750, 0.2500)  8 Re 3.45, 4 Cr 3.54
Cr (0.1250, 0.8750, 0.2500)  4 Re 2.38
Cr (0.8750, 0.1250, 0.7500)  4 Re 2.38
Re (0.0000, 0.0000, 0.0000)  2 Cr 2.38, 2 Re 2.50
Re (0.0000, 0.0000, 0.5000)  2 Cr 2.38, 2 Re 2.50
Re (0.0000, 0.5000, 0.0000)  2 Cr 2.38, 2 Re 2.50
Re (0.5000, 0.0000, 0.5000)  2 Cr 2.38, 2 Re 2.50

Values from the calculation:
DOS at the Fermi energy: 0.8163 states/eV per atom
total DFT energy (no corrections): -56.664 eV/cell



Entry 2:
# KCr2Re

An optimized crystal structure of KCr2Re (GGA-PBE, Alexandria via LeMat-Bulk).

a = 2.6716 Å, b = 2.6716 Å, c = 9.8903 Å
α = 90.00°, β = 90.00°, γ = 111.69°
Closest atoms and distances in Å follow each position.
Fractional positions:
K (0.0000, 0.0000, 0.0000)  4 K 2.67
Cr (0.0000, 0.0000, 0.5115)  2 Cr 2.31, 2 Re 2.56
Cr (0.5000, 0.5000, 0.6886)  2 Cr 2.31
Re (0.5000, 0.5000, 0.3015)  2 Cr 2.56, 4 Re 2.67

Values from the calculation:
DOS at the Fermi energy: 0.9888 states/eV per atom
total DFT energy (no corrections): -29.411 eV/cell



Entry 3:
# KCr2Re

An optimized crystal structure of KCr2Re (GGA-PBE, Alexandria via LeMat-Bulk).

a = 2.7151 Å, b = 3.8550 Å, c = 7.7363 Å
α = 90.00°, β = 95.22°, γ = 90.00°
Closest atoms and distances in Å follow each position.
Fractional positions:
K (0.0000, 0.0000, 0.0000)  2 K 2.72
Cr (0.0417, 0.5000, 0.6416)  1 Re 2.23, 2 Cr 2.39
Cr (0.3742, 0.0000, 0.5102)  2 Cr 2.39, 2 Re 2.47
Re (0.7285, 0.5000, 0.3646)  3 Cr 2.23-2.47

Values from the calculation:
DOS at the Fermi energy: 0.9484 states/eV per atom
total DFT energy (no corrections): -29.138 eV/cell



Entry 4:
# KCrRe2

An optimized crystal structure of KCrRe2 (GGA-PBE, Alexandria via LeMat-Bulk).

a = 4.4667 Å, b = 4.4667 Å, c = 4.4667 Å
α = 60.00°, β = 60.00°, γ = 60.00°
Closest atoms and distances in Å follow each position.
Fractional positions:
K (0.0000, 0.0000, 0.0000)  8 Re 2.74
Cr (0.5000, 0.5000, 0.5000)  8 Re 2.74
Re (0.2500, 0.2500, 0.2500)  4 Cr 2.74, 4 K 2.74
Re (0.7500, 0.7500, 0.7500)  4 Cr 2.74, 4 K 2.74

Values from the calculation:
DOS at the Fermi energy: 1.4441 states/eV per atom
total DFT energy (no corrections): -28.398 eV/cell



Entry 5:
# KCrRe2

An optimized crystal structure of KCrRe2 (GGA-PBE, Alexandria via LeMat-Bulk).

a = 10.5177 Å, b = 10.5177 Å, c = 10.5177 Å
α = 15.21°, β = 15.21°, γ = 15.21°
Closest atoms and distances in Å follow each position.
Fractional positions:
K (0.0000, 0.0000, 0.0000)  6 K 2.78
Cr (0.2360, 0.2360, 0.2360)  3 Re 2.64, 6 Cr 2.78
Re (0.5024, 0.5024, 0.5024)  3 Cr 2.64, 9 Re 2.70-2.78
Re (0.7660, 0.7660, 0.7660)  9 Re 2.70-2.78

Values from the calculation:
DOS at the Fermi energy: 0.8839 states/eV per atom
total DFT energy (no corrections): -32.039 eV/cell



Entry 6:
# KCr2Re

An optimized crystal structure of KCr2Re (GGA-PBE, Alexandria via LeMat-Bulk).

a = 4.6130 Å, b = 4.6130 Å, c = 4.6130 Å
α = 60.00°, β = 60.00°, γ = 60.00°
Closest atoms and distances in Å follow each position.
Fractional positions:
K (0.0000, 0.0000, 0.0000)  4 Cr 2.82, 4 Re 2.82
Cr (0.5000, 0.5000, 0.5000)  4 Cr 2.82, 4 Re 2.82
Cr (0.7500, 0.7500, 0.7500)  4 K 2.82, 4 Cr 2.82
Re (0.2500, 0.2500, 0.2500)  4 Cr 2.82, 4 K 2.82

Values from the calculation:
DOS at the Fermi energy: 0.5478 states/eV per atom
total DFT energy (no corrections): -26.370 eV/cell



Entry 7:
# KCrRe2

An optimized crystal structure of KCrRe2 (GGA-PBE, Alexandria via LeMat-Bulk).

a = 2.7160 Å, b = 2.7160 Å, c = 9.6256 Å
α = 90.00°, β = 90.00°, γ = 90.00°
Closest atoms and distances in Å follow each position.
Fractional positions:
K (0.0000, 0.0000, 0.0000)  4 K 2.72
Cr (0.0000, 0.0000, 0.5000)  8 Re 2.62, 4 Cr 2.72
Re (0.5000, 0.5000, 0.3156)  4 Cr 2.62, 4 Re 2.72
Re (0.5000, 0.5000, 0.6844)  4 Cr 2.62, 4 Re 2.72

Values from the calculation:
DOS at the Fermi energy: 1.3119 states/eV per atom
total DFT energy (no corrections): -31.961 eV/cell



Entry 8:
# KCrRe2

An optimized crystal structure of KCrRe2 (GGA-PBE, Alexandria via LeMat-Bulk).

a = 2.6928 Å, b = 2.6928 Å, c = 10.0869 Å
α = 90.00°, β = 90.00°, γ = 111.50°
Closest atoms and distances in Å follow each position.
Fractional positions:
K (0.0000, 0.0000, 0.0000)  4 K 2.69
Cr (0.0000, 0.0000, 0.5000)  4 Re 2.52, 4 Cr 2.69
Re (0.5000, 0.5000, 0.3007)  2 Cr 2.52, 4 Re 2.69
Re (0.5000, 0.5000, 0.6993)  2 Cr 2.52, 4 Re 2.69

Values from the calculation:
DOS at the Fermi energy: 0.9530 states/eV per atom
total DFT energy (no corrections): -32.572 eV/cell



Entry 9:
# KCrRe2

An optimized crystal structure of KCrRe2 (GGA-PBE, Alexandria via LeMat-Bulk).

a = 2.6609 Å, b = 3.7797 Å, c = 8.2603 Å
α = 90.00°, β = 90.00°, γ = 90.00°
Closest atoms and distances in Å follow each position.
Fractional positions:
K (0.0000, 0.0000, 0.0000)  2 K 2.66
Cr (0.0000, 0.0000, 0.5000)  8 Re 2.61, 2 Cr 2.66
Re (0.5000, 0.5000, 0.3525)  3 Re 2.44-2.66, 4 Cr 2.61
Re (0.5000, 0.5000, 0.6475)  3 Re 2.44-2.66, 4 Cr 2.61

Values from the calculation:
DOS at the Fermi energy: 1.0766 states/eV per atom
total DFT energy (no corrections): -31.913 eV/cell



Entry 10:
# KCr2Re

An optimized crystal structure of KCr2Re (GGA-PBE, Alexandria via LeMat-Bulk).

a = 2.8571 Å, b = 3.8397 Å, c = 7.4996 Å
α = 90.00°, β = 92.86°, γ = 90.00°
Closest atoms and distances in Å follow each position.
Fractional positions:
K (0.0000, 0.0000, 0.0000)  2 K 2.86
Cr (0.0239, 0.5000, 0.6328)  1 Cr 1.99
Cr (0.9761, 0.5000, 0.3672)  1 Cr 1.99
Re (0.5000, 0.0000, 0.5000)  8 Cr 2.58-2.60, 2 Re 2.86

Values from the calculation:
DOS at the Fermi energy: 0.7644 states/eV per atom
total DFT energy (no corrections): -29.613 eV/cell



Entry 11:
# K3CrRe

An optimized crystal structure of K3CrRe (GGA-PBE, Alexandria via LeMat-Bulk).

a = 6.3767 Å, b = 6.3767 Å, c = 6.3767 Å
α = 90.00°, β = 90.00°, γ = 90.00°
Closest atoms and distances in Å follow each position.
Fractional positions:
K (0.0000, 0.0000, 0.5000)  2 Re 3.19
K (0.0000, 0.5000, 0.0000)  2 Re 3.19
K (0.5000, 0.0000, 0.0000)  2 Re 3.19
Cr (0.5000, 0.5000, 0.5000)  12 K 4.51
Re (0.0000, 0.0000, 0.0000)  6 K 3.19

Values from the calculation:
DOS at the Fermi energy: 1.6737 states/eV per atom
total DFT energy (no corrections): -15.911 eV/cell



Entry 12:
# KCrRe2

An optimized crystal structure of KCrRe2 (GGA-PBE, Alexandria via LeMat-Bulk).

a = 5.6975 Å, b = 5.6975 Å, c = 5.6975 Å
α = 141.30°, β = 141.30°, γ = 55.88°
Closest atoms and distances in Å follow each position.
Fractional positions:
K (0.0000, 0.0000, 0.0000)  4 Cr 2.67
Cr (0.5000, 0.5000, 0.0000)  4 K 2.67
Re (0.2500, 0.7500, 0.5000)  4 Re 2.67
Re (0.7500, 0.2500, 0.5000)  4 Re 2.67

Values from the calculation:
DOS at the Fermi energy: 0.6723 states/eV per atom
total DFT energy (no corrections): -29.091 eV/cell



Entry 13:
# KCrRe3

An optimized crystal structure of KCrRe3 (GGA-PBE, Alexandria via LeMat-Bulk).

a = 4.6159 Å, b = 4.6159 Å, c = 4.6159 Å
α = 90.00°, β = 90.00°, γ = 90.00°
Closest atoms and distances in Å follow each position.
Fractional positions:
K (0.0000, 0.0000, 0.0000)  12 Re 3.26
Cr (0.5000, 0.5000, 0.5000)  6 Re 2.31
Re (0.0000, 0.5000, 0.5000)  2 Cr 2.31
Re (0.5000, 0.0000, 0.5000)  2 Cr 2.31
Re (0.5000, 0.5000, 0.0000)  2 Cr 2.31

Values from the calculation:
DOS at the Fermi energy: 0.9380 states/eV per atom
total DFT energy (no corrections): -38.736 eV/cell



Entry 14:
# KCr2Re

An optimized crystal structure of KCr2Re (GGA-PBE, Alexandria via LeMat-Bulk).

a = 2.6953 Å, b = 2.6953 Å, c = 9.9972 Å
α = 90.00°, β = 90.00°, γ = 111.14°
Closest atoms and distances in Å follow each position.
Fractional positions:
K (0.0000, 0.0000, 0.0000)  4 K 2.70
Cr (0.5000, 0.5000, 0.3018)  2 Re 2.50, 4 Cr 2.70
Cr (0.5000, 0.5000, 0.6982)  2 Re 2.50, 4 Cr 2.70
Re (0.0000, 0.0000, 0.5000)  4 Cr 2.50, 4 Re 2.70

Values from the calculation:
DOS at the Fermi energy: 1.1595 states/eV per atom
total DFT energy (no corrections): -28.982 eV/cell



Entry 15:
# KCr2Re

An optimized crystal structure of KCr2Re (GGA-PBE, Alexandria via LeMat-Bulk).

a = 8.5865 Å, b = 8.5865 Å, c = 8.5865 Å
α = 141.21°, β = 141.21°, γ = 56.01°
Closest atoms and distances in Å follow each position.
Fractional positions:
K (0.3750, 0.6250, 0.7500)  8 Cr 3.71, 4 Re 4.03
K (0.6250, 0.3750, 0.2500)  8 Cr 3.71, 4 Re 4.03
Cr (0.0000, 0.0000, 0.0000)  2 Re 2.37
Cr (0.0000, 0.0000, 0.5000)  2 Re 2.37
Cr (0.0000, 0.5000, 0.0000)  2 Re 2.37
Cr (0.5000, 0.0000, 0.5000)  2 Re 2.37
Re (0.1250, 0.8750, 0.2500)  4 Cr 2.37
Re (0.8750, 0.1250, 0.7500)  4 Cr 2.37

Values from the calculation:
DOS at the Fermi energy: 1.0359 states/eV per atom
total DFT energy (no corrections): -53.126 eV/cell